No. 1
Here is Pm5Sm4Ga4 after structural relaxation from Alexandria via LeMat-Bulk. Energies are from PBE.

```
data_Pm5Sm4Ga4
_symmetry_space_group_name_H-M 'I 4/m'
_symmetry_Int_Tables_number 87
_symmetry_space_group_name_Hall '-I 4'
_cell_length_a 11.980
_cell_length_b 11.980
_cell_length_c 5.131
_cell_angle_alpha 90.00
_cell_angle_beta 90.00
_cell_angle_gamma 90.00
loop_
_atom_site_label
_atom_site_type_symbol
_atom_site_fract_x
_atom_site_fract_y
_atom_site_fract_z
Pm1 Pm 0.000 0.000 0.000
Pm2 Pm 0.110 0.185 0.500
Sm1 Sm 0.094 0.376 0.000
Ga1 Ga 0.113 0.767 0.000
```



No. 2
Here is Pm2Sm3Ga2 after structural relaxation from Alexandria via LeMat-Bulk. Energies are from PBE.

```
data_Pm2Sm3Ga2
_symmetry_space_group_name_H-M 'C 1 2/m 1'
_symmetry_Int_Tables_number 12
_cell_length_a 12.257
_cell_length_b 4.214
_cell_length_c 8.781
_cell_angle_alpha 90.00
_cell_angle_beta 113.36
_cell_angle_gamma 90.00
loop_
_symmetry_equiv_pos_as_xyz
'x,y,z'
'-x,-y,-z'
'-x,y,-z'
'x,-y,z'
'x+1/2,y+1/2,z'
'-x+1/2,-y+1/2,-z'
'-x+1/2,y+1/2,-z'
'x+1/2,-y+1/2,z'
loop_
_atom_site_label
_atom_site_type_symbol
_atom_site_fract_x
_atom_site_fract_y
_atom_site_fract_z
Pm1 Pm 0.152 0.000 0.312
Sm1 Sm 0.000 0.500 0.500
Sm2 Sm 0.120 0.500 0.938
Ga1 Ga 0.172 0.000 0.714
```



No. 3
Here is Pm4SmGa3 after structural relaxation from Alexandria via LeMat-Bulk. Energies are from PBE.

```
data_Pm4SmGa3
_symmetry_space_group_name_H-M 'I 4/m c m'
_symmetry_Int_Tables_number 140
_symmetry_space_group_name_Hall '-I 4 2c'
_cell_length_a 11.968
_cell_length_b 11.968
_cell_length_c 6.062
_cell_angle_alpha 90.00
_cell_angle_beta 90.00
_cell_angle_gamma 90.00
loop_
_atom_site_label
_atom_site_type_symbol
_atom_site_fract_x
_atom_site_fract_y
_atom_site_fract_z
Pm1 Pm 0.087 0.215 0.000
Sm1 Sm 0.000 0.500 0.250
Ga1 Ga 0.000 0.000 0.250
Ga2 Ga 0.158 0.342 0.500
```



No. 4
Here is Pm2SmGa3 after structural relaxation from Alexandria via LeMat-Bulk. Energies are from PBE.

```
data_Pm2SmGa3
_symmetry_space_group_name_H-M 'P 4/m m m'
_symmetry_Int_Tables_number 123
_symmetry_space_group_name_Hall '-P 4 2'
_cell_length_a 3.657
_cell_length_b 3.657
_cell_length_c 11.010
_cell_angle_alpha 90.00
_cell_angle_beta 90.00
_cell_angle_gamma 90.00
loop_
_atom_site_label
_atom_site_type_symbol
_atom_site_fract_x
_atom_site_fract_y
_atom_site_fract_z
Pm1 Pm 0.000 0.000 0.167
Sm1 Sm 0.000 0.000 0.500
Ga1 Ga 0.500 0.500 0.000
Ga2 Ga 0.500 0.500 0.335
```



No. 5
Here is Pm2SmGa after structural relaxation from Alexandria via LeMat-Bulk. Energies are from PBE.

```
data_Pm2SmGa
_symmetry_space_group_name_H-M 'R 3 m'
_symmetry_Int_Tables_number 160
_symmetry_space_group_name_Hall 'R 3 -2"'
_cell_length_a 3.7101
_cell_length_b 3.7101
_cell_length_c 31.2416
_cell_angle_alpha 90.00
_cell_angle_beta 90.00
_cell_angle_gamma 120.00
loop_
_atom_site_label
_atom_site_type_symbol
_atom_site_fract_x
_atom_site_fract_y
_atom_site_fract_z
Pm1 Pm 0.0000 0.0000 0.0000
Pm2 Pm 0.0000 0.0000 0.1922
Sm1 Sm 0.0000 0.0000 0.7625
Ga1 Ga 0.0000 0.0000 0.5965
```

Computed properties:
* energy above the most stable polymorph in this dataset: 87 meV per atom



No. 6
Here is PmSmGa2 after structural relaxation from Alexandria via LeMat-Bulk. Energies are from PBE.

```
data_PmSmGa2
_symmetry_space_group_name_H-M 'P 4/m m m'
_symmetry_Int_Tables_number 123
_symmetry_space_group_name_Hall '-P 4 2'
_cell_length_a 3.659
_cell_length_b 3.659
_cell_length_c 7.319
_cell_angle_alpha 90.00
_cell_angle_beta 90.00
_cell_angle_gamma 90.00
loop_
_atom_site_label
_atom_site_type_symbol
_atom_site_fract_x
_atom_site_fract_y
_atom_site_fract_z
Pm1 Pm 0.000 0.000 0.000
Sm1 Sm 0.000 0.000 0.500
Ga1 Ga 0.500 0.500 0.252
```



No. 7
Here is Pm2Sm2Ga3 after structural relaxation from Alexandria via LeMat-Bulk. Energies are from PBE.

```
data_Pm2Sm2Ga3
_symmetry_space_group_name_H-M 'C 1 2/m 1'
_symmetry_Int_Tables_number 12
_cell_length_a 14.272
_cell_length_b 3.709
_cell_length_c 8.023
_cell_angle_alpha 90.00
_cell_angle_beta 116.99
_cell_angle_gamma 90.00
loop_
_symmetry_equiv_pos_as_xyz
'x,y,z'
'-x,-y,-z'
'-x,y,-z'
'x,-y,z'
'x+1/2,y+1/2,z'
'-x+1/2,-y+1/2,-z'
'-x+1/2,y+1/2,-z'
'x+1/2,-y+1/2,z'
loop_
_atom_site_label
_atom_site_type_symbol
_atom_site_fract_x
_atom_site_fract_y
_atom_site_fract_z
Pm1 Pm 0.113 0.000 0.295
Sm1 Sm 0.175 0.000 0.778
Ga1 Ga 0.000 0.500 0.500
Ga2 Ga 0.083 0.500 0.968
```



No. 8
Here is Pm3SmGa after structural relaxation from Alexandria via LeMat-Bulk. Energies are from PBE.

```
data_Pm3SmGa
_symmetry_space_group_name_H-M 'P -1'
_symmetry_Int_Tables_number 2
_cell_length_a 3.745
_cell_length_b 8.656
_cell_length_c 9.886
_cell_angle_alpha 76.65
_cell_angle_beta 79.10
_cell_angle_gamma 89.97
loop_
_symmetry_equiv_pos_as_xyz
'x,y,z'
'-x,-y,-z'
loop_
_atom_site_label
_atom_site_type_symbol
_atom_site_fract_x
_atom_site_fract_y
_atom_site_fract_z
Pm1 Pm 0.002 0.199 0.000
Pm2 Pm 0.185 0.882 0.631
Pm3 Pm 0.197 0.319 0.606
Sm1 Sm 0.405 0.457 0.188
Ga1 Ga 0.396 0.933 0.208
```

Computed properties:
* energy above the most stable polymorph in this dataset: 0 meV per atom



no.,calculated formation energy (eV/atom),total DFT energy (no corrections) (eV for the cell shown)
1,-0.38,-119.2
2,-0.30,-63.6
3,-0.45,-145.7
4,-0.57,-26.7
5,-0.17,-53.7
6,-0.57,-17.8
7,-0.44,-62.3
8,-0.20,-46.0